First-principles (PBE+U) data for crystalline BaCeMn2O8 at its relaxed geometry, as listed in Alexandria via LeMat-Bulk.

Calculated values
Symmetry   P-3 (147)
DFT total energy   -7.076 eV/atom

Structure (POSCAR):
```
BaCeMn2O8
1.0
5.654 0.000 0.000
-2.827 4.896 0.000
0.000 0.000 7.720
O Ba Ce Mn
8 1 1 2
Direct
0.667 0.333 0.019
0.213 0.876 0.694
0.337 0.213 0.306
0.876 0.663 0.306
0.333 0.667 0.981
0.663 0.787 0.694
0.787 0.124 0.306
0.124 0.337 0.694
0.000 0.000 0.000
0.000 0.000 0.500
0.667 0.333 0.233
0.333 0.667 0.767
```